Entry from Alexandria: a geometry-optimized Ba3Ho4O9 structure (PBE).

Output
ρ   7308 kg/m³
Calculated volume   276.3 Å³/cell
DFT total energy   -7.4840 eV per atom
Crystal system   trigonal

a b c (Å): 9.2060 9.2060 9.2060
angles (deg): 38.87 38.87 38.87
Sites, in units of the cell vectors:
1 O 0.4197 0.5429 0.9588
2 O 0.3020 0.4088 0.8741
3 O 0.8741 0.3020 0.4088
4 O 0.4196 0.9782 0.8578
5 O 0.9588 0.4197 0.5429
6 O 0.8578 0.4196 0.9782
7 O 0.4088 0.8741 0.3020
8 O 0.9782 0.8578 0.4196
9 O 0.5429 0.9588 0.4197
10 Ho 0.2621 0.2621 0.2621
11 Ho 0.1365 0.1365 0.1365
12 Ho 0.7002 0.7002 0.7002
13 Ho 0.5751 0.5751 0.5751
14 Ba 0.8360 0.8360 0.8360
15 Ba 0.4227 0.4227 0.4227
16 Ba 0.0015 0.0015 0.0015